Here is a relaxed SbPt2Se crystal from the Alexandria database. Energies are from GGA-PBE.

Calculated values
Its density is 11.4 Mg/m³. As for the calculated volume: 21.5 Å³ per atom. The value obtained for the magnetic moment is 0.0 μB/f.u. The value obtained for the offset from the most stable computed form is 0 meV/atom. Its space group is R3m, No. 160. The value obtained for the formation energy from raw total energies is -0.265 eV/atom.

a = 7.0125 Å, b = 7.0125 Å, c = 7.0125 Å
α = 32.01°, β = 32.01°, γ = 32.01°
With the nearest neighbours (Å) after each atom.
Fractional positions:
Se1 0.7240 0.7240 0.7240  3 Pt 2.49
Pt1 0.0015 0.0015 0.0015  3 Se 2.49, 3 Pt 2.75
Pt2 0.2540 0.2540 0.2540  3 Sb 2.60, 3 Pt 2.75
Sb1 0.5205 0.5205 0.5205  3 Pt 2.60